Compound: ZnAg
Source: the Open Quantum Materials Database
Functional: PBE
Structure: relaxed

raw total energy = -2.09 eV per atom
formation energy = -0.044 eV per atom

```
2
Lattice="-1.408 0.126 2.526 -0.840 -1.881 -2.033 2.781 -3.084 1.705" Properties=species:S:1:pos:R:3 pbc="T T T"
Ag 0.000 0.000 0.000
Zn 0.171 -2.085 1.859
```

Compound: ZnAg
Source: the Open Quantum Materials Database
Functional: PBE
Structure: relaxed

raw total energy = -2.08 eV per atom
formation energy = -0.031 eV per atom

```
12
Lattice="7.269 -1.462 0.000 0.032 5.817 0.000 0.000 0.000 4.600" Properties=species:S:1:pos:R:3 pbc="T T T"
Ag 6.426 2.946 2.300
Ag 2.499 4.400 0.000
Ag 1.704 2.898 2.300
Zn 4.055 4.388 2.300
Zn 4.836 2.915 0.000
Ag 6.420 -0.047 2.300
Zn 4.082 1.435 2.300
Zn 4.864 -0.032 0.000
Zn 0.025 -0.001 0.000
Ag 2.491 1.407 0.000
Ag 7.215 1.455 0.000
Zn 1.591 -0.001 2.300
```

Compound: ZnAg17
Source: the Open Quantum Materials Database
Functional: PBE
Structure: relaxed

raw total energy = -2.67 eV per atom
formation energy = 0.066 eV per atom

```
36
Lattice="5.837 0.000 0.000 -2.918 5.055 0.000 0.000 0.000 34.543" Properties=species:S:1:pos:R:3 pbc="T T T"
Ag 1.459 0.843 12.451
Ag 2.918 3.370 19.678
Ag 0.000 1.684 7.632
Ag 2.918 1.685 14.866
Ag 1.459 2.527 17.271
Ag 4.377 0.843 12.451
Ag -1.459 2.527 17.271
Ag -1.459 4.212 22.091
Ag 1.455 2.530 24.501
Ag -1.460 4.212 7.632
Ag 4.378 0.842 19.678
Ag 1.460 4.213 14.865
Zn 2.918 1.685 7.662
Ag 1.463 2.525 10.041
Ag 1.459 0.842 26.911
Ag 2.918 0.004 10.041
Ag 0.000 3.370 19.677
Ag 1.459 4.212 22.091
Ag 1.460 4.212 7.632
Ag 2.918 3.369 12.451
Ag 2.918 3.370 26.911
Ag 0.000 1.685 22.091
Ag 0.000 3.370 12.456
Ag 2.918 1.685 22.087
Zn 0.000 3.370 26.881
Ag 0.000 0.000 17.271
Ag 0.000 0.000 24.488
Ag 0.000 0.000 10.055
Ag -1.455 2.530 24.501
Ag 4.378 0.842 26.911
Ag 1.459 0.842 19.678
Ag 0.000 5.050 24.501
Ag 2.918 0.000 17.271
Ag 4.374 2.525 10.041
Ag -1.460 4.213 14.865
Ag 0.000 1.684 14.865
```

Compound: ZnAg
Source: the Open Quantum Materials Database
Functional: PBE
Structure: relaxed

raw total energy = -2.05 eV per atom
formation energy = -0.001 eV per atom

```
4
Lattice="2.050 0.792 3.954 -2.341 1.754 3.450 -0.973 -2.555 3.604" Properties=species:S:1:pos:R:3 pbc="T T T"
Zn -0.316 -0.002 2.752
Zn -0.632 -0.004 5.504
Ag 0.000 0.000 0.000
Ag -0.948 -0.006 8.256
```

- raw total energy of number 3 (ZnAg17)?
  -2.67 eV per atom

- What is the raw total energy in the third record?
  -2.67 eV per atom

- The highest formation energy belongs to which entry?
  ZnAg17